(1)
{"formula": "NaCd2In", "functional": "PBE", "state": "optimized geometry", "total_energy_ev_per_atom": -1.550, "space_group": "P2_1/m, No. 11", "m_tot_mub_per_cell": 0.00, "lattice": [[-4.490, 1.582, -0.935], [0.755, -5.789, -0.745], [-2.044, -1.256, 7.687]], "species": ["Na", "Na", "Cd", "Cd", "Cd", "Cd", "In", "In"], "fractional_positions": [[0.071, 0.144, 0.250], [0.929, 0.856, 0.750], [0.371, 0.741, 0.061], [0.371, 0.741, 0.439], [0.629, 0.259, 0.939], [0.629, 0.259, 0.561], [0.775, 0.551, 0.250], [0.225, 0.449, 0.750]]}

---

(2)
{"formula": "Na2Cd3In4", "functional": "PBE", "state": "optimized geometry", "total_energy_ev_per_atom": -1.875, "space_group": "Fmmm, No. 69", "m_tot_mub_per_cell": 0.00, "lattice": [[-4.583, 3.746, -0.079], [-0.302, -5.063, -3.052], [-0.583, -2.912, 7.787]], "species": ["Na", "Na", "Cd", "Cd", "Cd", "In", "In", "In", "In"], "fractional_positions": [[0.622, 0.622, 0.245], [0.378, 0.378, 0.755], [0.500, 0.000, 0.000], [0.000, 0.000, 0.000], [0.000, 0.500, 0.000], [0.985, 0.667, 0.652], [0.667, 0.985, 0.652], [0.015, 0.333, 0.348], [0.333, 0.015, 0.348]]}

---

(3)
{"formula": "NaCdIn4", "functional": "PBE", "state": "optimized geometry", "space_group": "F-43m, No. 216", "m_tot_mub_per_cell": 0.00, "de_polymorph_kj_per_mol_fu": 26, "lattice": [[-5.561, 0.390, 2.728], [-2.117, -4.726, 3.420], [-0.398, 0.567, 6.168]], "species": ["Na", "Cd", "In", "In", "In", "In"], "fractional_positions": [[0.250, 0.250, 0.250], [0.000, 0.000, 0.000], [0.625, 0.625, 0.125], [0.625, 0.125, 0.625], [0.625, 0.625, 0.625], [0.125, 0.625, 0.625]]}

---

(4)
{"formula": "Na5Cd3In", "functional": "PBE", "state": "optimized geometry", "total_energy_ev_per_atom": -1.301, "space_group": "C2/m, No. 12", "m_tot_mub_per_cell": 0.00, "lattice": [[8.301, 1.040, -0.591], [3.272, 7.699, -0.591], [2.826, 2.134, 9.188]], "species": ["Na", "Na", "Na", "Na", "Na", "Na", "Na", "Na", "Na", "Na", "Cd", "Cd", "Cd", "Cd", "Cd", "Cd", "In", "In"], "fractional_positions": [[0.901, 0.441, 0.415], [0.328, 0.672, 0.000], [0.741, 0.741, 0.092], [0.493, 0.493, 0.322], [0.507, 0.507, 0.678], [0.259, 0.259, 0.908], [0.441, 0.901, 0.415], [0.672, 0.328, 0.000], [0.099, 0.559, 0.585], [0.559, 0.099, 0.585], [0.689, 0.689, 0.783], [0.872, 0.872, 0.306], [0.000, 0.000, 0.000], [0.000, 0.000, 0.500], [0.311, 0.311, 0.217], [0.128, 0.128, 0.694], [0.893, 0.893, 0.794], [0.107, 0.107, 0.206]]}